VASP calculation (PBE+U) on an optimized crystal structure of PuCrBiO6.

Calculated values
**Total magnetic moment**: 5.000 μB per formula unit
**Raw total energy**: -8.1626 eV per atom

```
PuCrBiO6
1.0
5.3871 0.0000 0.0000
-2.6936 4.6654 0.0000
0.0000 0.0000 10.0235
Pu Cr Bi O
2 2 2 12
direct
0.3333 0.6667 0.2500
0.6667 0.3333 0.7500
0.3333 0.6667 0.7500
0.6667 0.3333 0.2500
0.0000 0.0000 0.0000
0.0000 0.0000 0.5000
0.0079 0.3626 0.6400
0.0079 0.6453 0.8600
0.3547 0.3626 0.8600
0.3547 0.9921 0.6400
0.3626 0.0079 0.1400
0.3626 0.3547 0.3600
0.6374 0.6453 0.6400
0.6374 0.9921 0.8600
0.6453 0.0079 0.3600
0.6453 0.6374 0.1400
0.9921 0.3547 0.1400
0.9921 0.6374 0.3600
```